No. 1
This record from the Alexandria database describes a relaxed Hf2HgBIr crystal. The functional is GGA-PBE.

Cell: 4.5552 4.5552 4.2456 Å, 90.00 90.00 90.00°
With the nearest neighbours (Å) after each atom.
Space group P4/mmm (No. 123)
Asymmetric unit:
Hf  0.0000  0.5000  0.0000  2 B 2.28
Hg  0.0000  0.0000  0.5000  2 B 2.12
B  0.0000  0.0000  0.0000  2 Hg 2.12, 4 Hf 2.28
Ir  0.5000  0.5000  0.5000  8 Hf 3.11, 4 Hg 3.22

Calculated values
formation energy from the elements	52.0	meV per atom

No. 2
This record from the Alexandria database describes a relaxed HfHgB2O crystal. The functional is GGA-PBE.

Cell: 4.1287 4.1287 4.4045 Å, 90.00 90.00 90.00°
With the nearest neighbours (Å) after each atom.
Space group P4/mmm (No. 123)
Asymmetric unit:
Hf  0.0000  0.0000  0.0000  4 O 2.92, 8 B 3.02
Hg  0.5000  0.5000  0.5000  4 B 2.06, 2 O 2.20
B  0.0000  0.5000  0.5000  2 Hg 2.06
O  0.5000  0.5000  0.0000  2 Hg 2.20

Calculated values
raw formation energy	1333	meV per atom

What are the raw total energy values for these records? In order: -7.0974 -4.3811 eV/atom.
What are the M_tot values for these records? In order: 0.00 0.00 μB/atom.
What are the N(E_F) values for these records? In order: 3.79 2.31 states/eV/cell.